Here is crystalline CePmI4 at its relaxed geometry from Alexandria. Energies are from GGA-PBE.

The structure in extended XYZ format:
```
12
Lattice="0.106 8.524 -2.201 -3.681 -1.942 -7.697 -3.835 -2.574 7.457" Properties=species:S:1:pos:R:3 pbc="T T T"
Ce -1.865 2.975 2.628
Ce -1.917 -1.287 3.728
Pm -1.788 3.291 -4.949
Pm 0.053 4.262 -1.100
I -4.598 3.692 -3.533
I -6.465 -2.014 1.113
I -6.410 2.450 -0.040
I -2.886 4.595 0.048
I -4.525 -0.587 -2.489
I -0.945 6.022 -3.554
I -1.000 1.558 -2.401
I -2.812 0.317 1.092
```

space-group type	Imma
electronic total energy	-48.5	eV/cell
calculated volume	477.48	Å³/cell
formation energy (no corrections)	-1.23	eV/atom
density of states at the Fermi level	19.31	states/eV per cell

=====

Here is crystalline Li2SBr2 at its relaxed geometry from Alexandria. Energies are from GGA-PBE.

The structure in extended XYZ format:
```
10
Lattice="7.748 0.000 0.000 0.000 7.748 0.000 0.000 0.000 3.842" Properties=species:S:1:pos:R:3 pbc="T T T"
S 0.000 0.000 0.000
S 3.874 3.874 0.000
Br 2.584 6.458 0.000
Br 6.458 5.163 0.000
Br 5.163 1.290 0.000
Br 1.290 2.584 0.000
Li 1.411 5.285 1.921
Li 5.285 6.337 1.921
Li 6.337 2.463 1.921
Li 2.463 1.411 1.921
```

space-group type	P4/mbm
electronic total energy	-28.7	eV/cell
calculated volume	230.65	Å³/cell
formation energy (no corrections)	-0.61	eV/atom
density of states at the Fermi level	1.03	states/eV per cell

=====

Here is crystalline KWN2 at its relaxed geometry from Alexandria. Energies are from GGA-PBE.

The structure in extended XYZ format:
```
8
Lattice="-0.319 2.304 -5.271 -3.476 -4.284 -1.662 -5.530 1.457 -2.178" Properties=species:S:1:pos:R:3 pbc="T T T"
K -1.897 -0.990 -3.467
K -5.452 -1.909 -3.653
W 0.000 0.000 0.000
W -3.873 1.385 -5.458
N -2.068 1.641 -4.899
N -3.862 -0.094 -6.662
N -5.009 1.042 -3.965
N -4.554 2.952 -6.306
```

space-group type	I-42d
electronic total energy	-64.8	eV/cell
calculated volume	151.59	Å³/cell
formation energy (no corrections)	-0.43	eV/atom
density of states at the Fermi level	3.56	states/eV per cell

=====

Here is crystalline Pa2SbRu3 at its relaxed geometry from Alexandria. Energies are from GGA-PBE.

The structure in extended XYZ format:
```
24
Lattice="-8.652 1.492 -2.105 -3.675 -4.093 -7.159 -6.124 -6.527 1.183" Properties=species:S:1:pos:R:3 pbc="T T T"
Pa -5.023 -2.485 -2.200
Pa -6.534 -4.167 -5.142
Pa -8.579 -1.872 -3.065
Pa -7.540 -5.168 -1.714
Pa -11.917 -4.961 -2.939
Pa -13.427 -6.643 -5.881
Pa -9.872 -7.256 -5.016
Pa -10.911 -3.961 -6.367
Sb 0.000 0.000 0.000
Sb -1.838 -2.047 -3.579
Sb -4.326 0.746 -1.052
Sb -3.062 -3.264 0.591
Ru -9.984 -6.685 -2.443
Ru -13.080 -4.725 -7.658
Ru -11.245 -2.682 -4.084
Ru -11.818 -8.728 -6.017
Ru -8.761 -5.470 -6.607
Ru -14.302 -5.940 -3.494
Ru -6.633 -0.400 -2.064
Ru -7.205 -6.446 -3.996
Ru -5.371 -4.403 -0.423
Ru -8.467 -2.443 -5.637
Ru -9.690 -3.658 -1.473
Ru -4.148 -3.188 -4.587
```

space-group type	Fd-3m
electronic total energy	-209.0	eV/cell
calculated volume	520.34	Å³/cell
formation energy (no corrections)	-0.22	eV/atom
density of states at the Fermi level	25.00	states/eV per cell

=====

Here is crystalline Rb2MgNiBr6 at its relaxed geometry from Alexandria. Energies are from GGA-PBE.

The structure in extended XYZ format:
```
20
Lattice="7.525 0.000 0.000 3.763 6.517 0.000 3.763 2.172 12.506" Properties=species:S:1:pos:R:3 pbc="T T T"
Rb 11.288 6.517 4.606
Rb 3.763 2.172 7.900
Rb 11.288 6.517 11.059
Rb 3.763 2.172 1.448
Mg 7.525 4.345 3.067
Mg 7.525 4.345 9.439
Ni 0.000 0.000 0.000
Ni 7.525 4.345 6.253
Br 9.319 3.309 4.720
Br 7.525 6.416 4.720
Br 5.732 3.309 4.720
Br 5.732 5.380 7.786
Br 7.525 2.274 7.786
Br 9.319 5.380 7.786
Br 9.461 3.227 11.002
Br 7.525 6.580 11.002
Br 5.590 3.227 11.002
Br 5.590 5.462 1.504
Br 7.525 2.110 1.504
Br 9.461 5.462 1.504
```

space-group type	R-3m
electronic total energy	-63.1	eV/cell
calculated volume	613.38	Å³/cell
formation energy (no corrections)	-1.22	eV/atom
density of states at the Fermi level	0.08	states/eV per cell

=====

Here is crystalline SrPb2Br at its relaxed geometry from Alexandria. Energies are from GGA-PBE.

The structure in extended XYZ format:
```
4
Lattice="10.731 -0.021 -0.012 10.032 3.810 -0.012 10.032 1.831 3.341" Properties=species:S:1:pos:R:3 pbc="T T T"
Pb 0.237 0.043 0.026
Pb 15.160 2.767 1.633
Sr 7.698 1.405 0.829
Br 23.095 4.215 2.488
```

space-group type	R-3m
electronic total energy	-11.4	eV/cell
calculated volume	137.79	Å³/cell
formation energy (no corrections)	-0.16	eV/atom
density of states at the Fermi level	4.07	states/eV per cell

=====

Here is crystalline AlZn4Pd2 at its relaxed geometry from Alexandria. Energies are from GGA-PBE.

The structure in extended XYZ format:
```
7
Lattice="4.681 0.018 -2.686 -1.553 4.416 -2.686 -0.028 -0.039 5.382" Properties=species:S:1:pos:R:3 pbc="T T T"
Zn 2.457 3.482 -3.836
Zn 0.892 1.264 -1.151
Zn 3.232 1.273 -2.493
Zn 0.116 3.472 -2.493
Al 2.442 3.462 -1.145
Pd 0.102 3.452 0.198
Pd 3.218 1.254 0.198
```

space-group type	I4/mmm
energy of formation	-2.18	eV per formula unit
electronic total energy	-21.4	eV/cell
calculated volume	110.45	Å³/cell
density of states at the Fermi level	2.54	states/eV per cell

=====

Here is crystalline CaHo2Pd3 at its relaxed geometry from Alexandria. Energies are from GGA-PBE.

The structure in extended XYZ format:
```
6
Lattice="3.477 0.000 0.000 0.000 3.477 0.000 0.000 0.000 10.729" Properties=species:S:1:pos:R:3 pbc="T T T"
Ca 1.738 1.738 5.364
Ho 1.738 1.738 8.947
Ho 1.738 1.738 1.782
Pd 0.000 0.000 0.000
Pd 0.000 0.000 7.362
Pd 0.000 0.000 3.367
```

space-group type	P4/mmm
energy of formation	-5.15	eV per formula unit
electronic total energy	-31.9	eV/cell
calculated volume	129.68	Å³/cell
density of states at the Fermi level	2.86	states/eV per cell